# YC5, optimized geometry, DFT PBE
# excess energy over the best structure of this formula in the dataset: 0 meV per atom
data_YC5
_cell_length_a 8.984
_cell_length_b 2.621
_cell_length_c 5.608
_cell_angle_alpha 90.00
_cell_angle_beta 103.81
_cell_angle_gamma 90.00
_space_group_name_H-M_alt 'C 1 m 1'
_space_group_IT_number 8
loop_
_space_group_symop_operation_xyz
'x,y,z'
'x,-y,z'
'x+1/2,y+1/2,z'
'x+1/2,-y+1/2,z'
loop_
_atom_site_label
_atom_site_fract_x
_atom_site_fract_y
_atom_site_fract_z
_atom_site_occupancy
Y1 0.000 0.000 0.000 1
C1 0.199 0.500 0.878 1
C2 0.255 0.500 0.146 1
C3 0.255 0.500 0.654 1
C4 0.272 0.000 0.537 1
C5 0.280 0.000 0.283 1

=====

# La6As2I3N, optimized geometry, DFT PBE
# formation energy (no corrections): -1.332 eV/atom
data_La6As2I3N
_cell_length_a 7.355
_cell_length_b 12.727
_cell_length_c 8.172
_cell_angle_alpha 90.00
_cell_angle_beta 107.39
_cell_angle_gamma 90.00
_space_group_name_H-M_alt 'C 1 2/m 1'
_space_group_IT_number 12
loop_
_space_group_symop_operation_xyz
'x,y,z'
'-x,-y,-z'
'-x,y,-z'
'x,-y,z'
'x+1/2,y+1/2,z'
'-x+1/2,-y+1/2,-z'
'-x+1/2,y+1/2,-z'
'x+1/2,-y+1/2,z'
loop_
_atom_site_label
_atom_site_fract_x
_atom_site_fract_y
_atom_site_fract_z
_atom_site_occupancy
La1 0.211 0.150 0.186 1
La2 0.236 0.000 0.810 1
As1 0.000 0.334 0.000 1
I1 0.000 0.175 0.500 1
I2 0.000 0.500 0.500 1
N1 0.000 0.000 0.000 1

=====

# RbNdCu2O4, optimized geometry, DFT PBE
# formation energy (no corrections): -1.594 eV/atom
data_RbNdCu2O4
_cell_length_a 3.937
_cell_length_b 3.937
_cell_length_c 7.635
_cell_angle_alpha 90.00
_cell_angle_beta 90.00
_cell_angle_gamma 90.00
_space_group_name_H-M_alt 'P 4/m m m'
_space_group_IT_number 123
_space_group_name_Hall '-P 4 2'
loop_
_atom_site_label
_atom_site_fract_x
_atom_site_fract_y
_atom_site_fract_z
_atom_site_occupancy
Rb1 0.000 0.000 0.000 1
Nd1 0.000 0.000 0.500 1
Cu1 0.500 0.500 0.286 1
O1 0.000 0.500 0.301 1

=====

# Ce5Tm3Ir12, optimized geometry, DFT PBE
# uncorrected energy: -7.4060 eV per atom
data_Ce5Tm3Ir12
_cell_length_a 15.662
_cell_length_b 15.662
_cell_length_c 15.662
_cell_angle_alpha 90.00
_cell_angle_beta 90.00
_cell_angle_gamma 90.00
_space_group_name_H-M_alt 'I a -3 d'
_space_group_IT_number 230
_space_group_name_Hall '-I 4bd 2c 3'
loop_
_atom_site_label
_atom_site_fract_x
_atom_site_fract_y
_atom_site_fract_z
_atom_site_occupancy
Ce1 0.000 0.000 0.000 1
Ce2 0.000 0.250 0.375 1
Tm1 0.000 0.250 0.125 1
Ir1 0.006 0.077 0.651 1

=====

Repeat the second record exactly.
# La6As2I3N, optimized geometry, DFT PBE
# formation energy (no corrections): -1.332 eV/atom
data_La6As2I3N
_cell_length_a 7.355
_cell_length_b 12.727
_cell_length_c 8.172
_cell_angle_alpha 90.00
_cell_angle_beta 107.39
_cell_angle_gamma 90.00
_space_group_name_H-M_alt 'C 1 2/m 1'
_space_group_IT_number 12
loop_
_space_group_symop_operation_xyz
'x,y,z'
'-x,-y,-z'
'-x,y,-z'
'x,-y,z'
'x+1/2,y+1/2,z'
'-x+1/2,-y+1/2,-z'
'-x+1/2,y+1/2,-z'
'x+1/2,-y+1/2,z'
loop_
_atom_site_label
_atom_site_fract_x
_atom_site_fract_y
_atom_site_fract_z
_atom_site_occupancy
La1 0.211 0.150 0.186 1
La2 0.236 0.000 0.810 1
As1 0.000 0.334 0.000 1
I1 0.000 0.175 0.500 1
I2 0.000 0.500 0.500 1
N1 0.000 0.000 0.000 1

=====

Number 4 is which compound?
Ce5Tm3Ir12